No. 1
# HoZnInNi, optimized geometry, DFT PBE-GGA
data_HoZnInNi
_chemical_formula_sum 'Ho4 Zn4 In4 Ni4'
_cell_length_a 7.462
_cell_length_b 4.188
_cell_length_c 9.646
_cell_angle_alpha 90.00
_cell_angle_beta 90.00
_cell_angle_gamma 90.00
_symmetry_space_group_name_H-M 'A m m 2'
_symmetry_Int_Tables_number 38
loop_
_symmetry_equiv_pos_as_xyz
'x,y,z'
'-x,-y,z'
'-x,y,z'
'x,-y,z'
'x,y+1/2,z+1/2'
'-x,-y+1/2,z+1/2'
'-x,y+1/2,z+1/2'
'x,-y+1/2,z+1/2'
loop_
_atom_site_label
_atom_site_type_symbol
_atom_site_fract_x
_atom_site_fract_y
_atom_site_fract_z
Ho1 Ho 0.000 0.000 0.000
Ho2 Ho 0.500 0.000 0.132
Zn1 Zn 0.310 0.000 0.420
In1 In 0.203 0.000 0.711
Ni1 Ni 0.000 0.000 0.294
Ni2 Ni 0.500 0.000 0.855
# **Uncorrected energy**: -3.955 eV/atom

---

No. 2
# Ho2Zn3InNi2, optimized geometry, DFT PBE-GGA
data_Ho2Zn3InNi2
_chemical_formula_sum 'Ho4 Zn6 In2 Ni4'
_cell_length_a 9.459
_cell_length_b 4.096
_cell_length_c 7.341
_cell_angle_alpha 90.00
_cell_angle_beta 90.83
_cell_angle_gamma 90.00
_symmetry_space_group_name_H-M 'C 1 m 1'
_symmetry_Int_Tables_number 8
loop_
_symmetry_equiv_pos_as_xyz
'x,y,z'
'x,-y,z'
'x+1/2,y+1/2,z'
'x+1/2,-y+1/2,z'
loop_
_atom_site_label
_atom_site_type_symbol
_atom_site_fract_x
_atom_site_fract_y
_atom_site_fract_z
Ho1 Ho 0.000 0.000 0.000
Ho2 Ho 0.134 0.000 0.531
Zn1 Zn 0.214 0.500 0.817
Zn2 Zn 0.419 0.000 0.324
Zn3 Zn 0.424 0.000 0.708
In1 In 0.211 0.500 0.214
Ni1 Ni 0.291 0.000 0.005
Ni2 Ni 0.350 0.500 0.526
# **Uncorrected energy**: -3.779 eV/atom

---

No. 3
# HoNpIn, optimized geometry, DFT PBE-GGA
data_HoNpIn
_chemical_formula_sum 'Ho4 Np4 In4'
_cell_length_a 7.302
_cell_length_b 7.302
_cell_length_c 7.302
_cell_angle_alpha 90.00
_cell_angle_beta 90.00
_cell_angle_gamma 90.00
_symmetry_space_group_name_H-M 'F -4 3 m'
_symmetry_Int_Tables_number 216
_symmetry_space_group_name_Hall 'F -4 2 3'
loop_
_atom_site_label
_atom_site_type_symbol
_atom_site_fract_x
_atom_site_fract_y
_atom_site_fract_z
Ho1 Ho 0.000 0.000 0.000
Np1 Np 0.000 0.000 0.500
In1 In 0.250 0.250 0.250
# **Uncorrected energy**: -6.228 eV/atom

---

No. 4
# Ho2In2O5, optimized geometry, DFT PBE-GGA
data_Ho2In2O5
_chemical_formula_sum 'Ho2 In2 O5'
_cell_length_a 4.166
_cell_length_b 4.166
_cell_length_c 7.033
_cell_angle_alpha 90.00
_cell_angle_beta 90.00
_cell_angle_gamma 90.00
_symmetry_space_group_name_H-M 'P 4/m m m'
_symmetry_Int_Tables_number 123
_symmetry_space_group_name_Hall '-P 4 2'
loop_
_atom_site_label
_atom_site_type_symbol
_atom_site_fract_x
_atom_site_fract_y
_atom_site_fract_z
Ho1 Ho 0.000 0.000 0.000
Ho2 Ho 0.000 0.000 0.500
In1 In 0.500 0.500 0.201
O1 O 0.000 0.500 0.240
O2 O 0.500 0.500 0.500
# **Uncorrected energy**: -6.200 eV/atom

---

No. 5
# Ho2In2O5, optimized geometry, DFT PBE-GGA
data_Ho2In2O5
_chemical_formula_sum 'Ho2 In2 O5'
_cell_length_a 4.039
_cell_length_b 4.039
_cell_length_c 8.558
_cell_angle_alpha 90.00
_cell_angle_beta 90.00
_cell_angle_gamma 90.00
_symmetry_space_group_name_H-M 'P 4/m m m'
_symmetry_Int_Tables_number 123
_symmetry_space_group_name_Hall '-P 4 2'
loop_
_atom_site_label
_atom_site_type_symbol
_atom_site_fract_x
_atom_site_fract_y
_atom_site_fract_z
Ho1 Ho 0.000 0.000 0.246
In1 In 0.500 0.500 0.000
In2 In 0.500 0.500 0.500
O1 O 0.000 0.000 0.500
O2 O 0.000 0.500 0.154
# **Uncorrected energy**: -6.639 eV/atom

---

No. 6
# HoInPO, optimized geometry, DFT PBE-GGA
data_HoInPO
_chemical_formula_sum 'Ho2 In2 P2 O2'
_cell_length_a 4.025
_cell_length_b 7.615
_cell_length_c 5.718
_cell_angle_alpha 90.00
_cell_angle_beta 90.00
_cell_angle_gamma 90.00
_symmetry_space_group_name_H-M 'P m c 21'
_symmetry_Int_Tables_number 26
loop_
_symmetry_equiv_pos_as_xyz
'x,y,z'
'-x,-y,z+1/2'
'-x,y,z'
'x,-y,z+1/2'
loop_
_atom_site_label
_atom_site_type_symbol
_atom_site_fract_x
_atom_site_fract_y
_atom_site_fract_z
Ho1 Ho 0.000 0.182 0.000
In1 In 0.500 0.382 0.566
P1 P 0.000 0.178 0.494
O1 O 0.500 0.297 0.974
# **Uncorrected energy**: -5.757 eV/atom

---

No. 7
# HoInPO, optimized geometry, DFT PBE-GGA
data_HoInPO
_chemical_formula_sum 'Ho2 In2 P2 O2'
_cell_length_a 4.466
_cell_length_b 6.298
_cell_length_c 6.451
_cell_angle_alpha 90.00
_cell_angle_beta 90.00
_cell_angle_gamma 90.00
_symmetry_space_group_name_H-M 'P m c 21'
_symmetry_Int_Tables_number 26
loop_
_symmetry_equiv_pos_as_xyz
'x,y,z'
'-x,-y,z+1/2'
'-x,y,z'
'x,-y,z+1/2'
loop_
_atom_site_label
_atom_site_type_symbol
_atom_site_fract_x
_atom_site_fract_y
_atom_site_fract_z
Ho1 Ho 0.000 0.143 0.000
In1 In 0.500 0.292 0.399
P1 P 0.500 0.304 0.805
O1 O 0.000 0.148 0.334
# **Uncorrected energy**: -5.738 eV/atom

---

No. 8
# HoInPO, optimized geometry, DFT PBE-GGA
data_HoInPO
_chemical_formula_sum 'Ho2 In2 P2 O2'
_cell_length_a 4.441
_cell_length_b 4.441
_cell_length_c 7.935
_cell_angle_alpha 90.00
_cell_angle_beta 90.00
_cell_angle_gamma 90.00
_symmetry_space_group_name_H-M 'P 4/n m m'
_symmetry_Int_Tables_number 129
loop_
_symmetry_equiv_pos_as_xyz
'x,y,z'
'-x,-y,-z'
'-y+1/2,x,z'
'y+1/2,-x,-z'
'-x+1/2,-y+1/2,z'
'x+1/2,y+1/2,-z'
'y,-x+1/2,z'
'-y,x+1/2,-z'
'x+1/2,-y,-z'
'-x+1/2,y,z'
'-y,-x,-z'
'y,x,z'
'-x,y+1/2,-z'
'x,-y+1/2,z'
'y+1/2,x+1/2,-z'
'-y+1/2,-x+1/2,z'
loop_
_atom_site_label
_atom_site_type_symbol
_atom_site_fract_x
_atom_site_fract_y
_atom_site_fract_z
Ho1 Ho 0.250 0.750 0.000
In1 In 0.250 0.250 0.404
P1 P 0.250 0.250 0.808
O1 O 0.250 0.750 0.500
# **Uncorrected energy**: -5.139 eV/atom